[1]
# MgZn2PdN, PBEsol geometry, DFT meta-GGA SCAN
# Magnetization in μB per formula unit: 0.0
# Energy relative to the elements, uncorrected in eV per atom: 0.95
# E_tot in eV/atom: -13.8662
data_MgZn2PdN
_cell_length_a 4.8156
_cell_length_b 4.8156
_cell_length_c 3.6210
_cell_angle_alpha 90.00
_cell_angle_beta 90.00
_cell_angle_gamma 90.00
_symmetry_space_group_name_H-M 'P 4/m m m'
_symmetry_Int_Tables_number 123
_symmetry_space_group_name_Hall '-P 4 2'
loop_
_atom_site_label
_atom_site_fract_x
_atom_site_fract_y
_atom_site_fract_z
Mg1 0.0000 0.0000 0.0000
Zn1 0.0000 0.5000 0.0000
Pd1 0.5000 0.5000 0.5000
N1 0.0000 0.0000 0.5000

[2]
# MgPtSe2N, PBEsol geometry, DFT meta-GGA SCAN
# Magnetization in μB per formula unit: 0.0
# Energy relative to the elements, uncorrected in eV per atom: 0.09
# E_tot in eV/atom: -24.8280
data_MgPtSe2N
_cell_length_a 5.1912
_cell_length_b 5.1912
_cell_length_c 3.6281
_cell_angle_alpha 90.00
_cell_angle_beta 90.00
_cell_angle_gamma 90.00
_symmetry_space_group_name_H-M 'P 4/m m m'
_symmetry_Int_Tables_number 123
_symmetry_space_group_name_Hall '-P 4 2'
loop_
_atom_site_label
_atom_site_fract_x
_atom_site_fract_y
_atom_site_fract_z
Mg1 0.0000 0.0000 0.0000
Pt1 0.5000 0.5000 0.5000
Se1 0.0000 0.5000 0.5000
N1 0.5000 0.5000 0.0000

[3]
# MgPtSeN2, PBEsol geometry, DFT meta-GGA SCAN
# Magnetization in μB per formula unit: 0.0
# Energy relative to the elements, uncorrected in eV per atom: 0.57
# E_tot in eV/atom: -22.1962
data_MgPtSeN2
_cell_length_a 3.7011
_cell_length_b 3.7011
_cell_length_c 7.5676
_cell_angle_alpha 90.00
_cell_angle_beta 90.00
_cell_angle_gamma 90.00
_symmetry_space_group_name_H-M 'P 4/m m m'
_symmetry_Int_Tables_number 123
_symmetry_space_group_name_Hall '-P 4 2'
loop_
_atom_site_label
_atom_site_fract_x
_atom_site_fract_y
_atom_site_fract_z
Mg1 0.0000 0.0000 0.0000
Pt1 0.5000 0.5000 0.5000
Se1 0.5000 0.5000 0.0000
N1 0.0000 0.5000 0.5000

[4]
# MgTePtN2, PBEsol geometry, DFT meta-GGA SCAN
# Magnetization in μB per formula unit: 4.5
# Energy relative to the elements, uncorrected in eV per atom: 1.24
# E_tot in eV/atom: -24.9609
data_MgTePtN2
_cell_length_a 3.9092
_cell_length_b 3.9092
_cell_length_c 5.9366
_cell_angle_alpha 90.00
_cell_angle_beta 90.00
_cell_angle_gamma 90.00
_symmetry_space_group_name_H-M 'P 4/m m m'
_symmetry_Int_Tables_number 123
_symmetry_space_group_name_Hall '-P 4 2'
loop_
_atom_site_label
_atom_site_fract_x
_atom_site_fract_y
_atom_site_fract_z
Mg1 0.0000 0.0000 0.0000
Te1 0.0000 0.0000 0.5000
Pt1 0.5000 0.5000 0.5000
N1 0.0000 0.5000 0.0000

[5]
# Rb2MgN, PBEsol geometry, DFT meta-GGA SCAN
# Magnetization in μB per formula unit: 0.0
# Energy relative to the elements, uncorrected in eV per atom: 0.05
# E_tot in eV/atom: -13.8831
data_Rb2MgN
_cell_length_a 12.4140
_cell_length_b 12.4140
_cell_length_c 3.9260
_cell_angle_alpha 90.00
_cell_angle_beta 90.00
_cell_angle_gamma 90.00
_symmetry_space_group_name_H-M 'I -4 2 d'
_symmetry_Int_Tables_number 122
_symmetry_space_group_name_Hall 'I -4 2bw'
loop_
_atom_site_label
_atom_site_fract_x
_atom_site_fract_y
_atom_site_fract_z
Rb1 0.0425 0.2500 0.1250
Mg1 0.0000 0.0000 0.5000
N1 0.0000 0.0000 0.0000

[6]
# Mg3ReN, PBEsol geometry, DFT meta-GGA SCAN
# Magnetization in μB per formula unit: 4.3
# Energy relative to the elements, uncorrected in eV per atom: 1.94
# E_tot in eV/atom: -17.1258
data_Mg3ReN
_cell_length_a 5.1163
_cell_length_b 5.1163
_cell_length_c 5.1163
_cell_angle_alpha 90.00
_cell_angle_beta 90.00
_cell_angle_gamma 90.00
_symmetry_space_group_name_H-M 'P m -3 m'
_symmetry_Int_Tables_number 221
_symmetry_space_group_name_Hall '-P 4 2 3'
loop_
_atom_site_label
_atom_site_fract_x
_atom_site_fract_y
_atom_site_fract_z
Mg1 0.0000 0.0000 0.5000
Re1 0.0000 0.0000 0.0000
N1 0.5000 0.5000 0.5000

[7]
# MgReTeN2, PBEsol geometry, DFT meta-GGA SCAN
# Magnetization in μB per formula unit: 0.0
# Energy relative to the elements, uncorrected in eV per atom: 0.23
# E_tot in eV/atom: -26.1535
data_MgReTeN2
_cell_length_a 3.8847
_cell_length_b 3.8847
_cell_length_c 5.6782
_cell_angle_alpha 90.00
_cell_angle_beta 90.00
_cell_angle_gamma 90.00
_symmetry_space_group_name_H-M 'P 4/m m m'
_symmetry_Int_Tables_number 123
_symmetry_space_group_name_Hall '-P 4 2'
loop_
_atom_site_label
_atom_site_fract_x
_atom_site_fract_y
_atom_site_fract_z
Mg1 0.0000 0.0000 0.0000
Re1 0.5000 0.5000 0.5000
Te1 0.5000 0.5000 0.0000
N1 0.0000 0.5000 0.5000

[8]
# MgRuS2N, PBEsol geometry, DFT meta-GGA SCAN
# Magnetization in μB per formula unit: 4.8
# Energy relative to the elements, uncorrected in eV per atom: 1.11
# E_tot in eV/atom: -12.5634
data_MgRuS2N
_cell_length_a 4.6409
_cell_length_b 4.6409
_cell_length_c 3.7054
_cell_angle_alpha 90.00
_cell_angle_beta 90.00
_cell_angle_gamma 90.00
_symmetry_space_group_name_H-M 'P 4/m m m'
_symmetry_Int_Tables_number 123
_symmetry_space_group_name_Hall '-P 4 2'
loop_
_atom_site_label
_atom_site_fract_x
_atom_site_fract_y
_atom_site_fract_z
Mg1 0.0000 0.0000 0.0000
Ru1 0.5000 0.5000 0.5000
S1 0.0000 0.5000 0.0000
N1 0.0000 0.0000 0.5000